(1)
Material: TaPOs2
Method: DFT, GGA-PBEsol
State: relaxed

Computed properties:
Symmetry = No. 65
Uncorrected energy = -10.43 eV per atom
Calculated formation energy = 261.4 meV/atom

abc: 2.8088 2.8088 8.2714
angles: 90.00 90.00 116.19
With the nearest neighbours (Å) after each atom.
Fractional positions:
Os1 0.0000 0.0000 0.2760  2 P 2.37
Os2 0.0000 0.0000 0.7240  2 P 2.37
Ta1 0.5000 0.5000 0.0000  4 Os 2.72, 6 Ta 2.81-2.97
P1 0.5000 0.5000 0.5000  4 Os 2.37


(2)
Material: KAl2AgTe
Method: DFT, GGA-PBEsol
State: relaxed

Computed properties:
Symmetry = No. 123
ΔE_f (raw) = 60 kJ/mol of formula units
Uncorrected energy = -3.11 eV per atom

abc: 4.9042 4.9042 5.9492
angles: 90.00 90.00 90.00
With the nearest neighbours (Å) after each atom.
Fractional positions:
Ag1 0.0000 0.0000 0.0000  4 Al 2.45
K1 0.5000 0.5000 0.5000  4 Te 3.47, 8 Al 3.86
Al1 0.5000 0.0000 0.0000  2 Ag 2.45
Al2 0.0000 0.5000 0.0000  2 Ag 2.45
Te1 0.0000 0.0000 0.5000  2 Ag 2.97


(3)
Material: K2AlNi
Method: DFT, GGA-PBEsol
State: relaxed

Computed properties:
Symmetry = No. 139
Uncorrected energy = -2.36 eV per atom
Calculated formation energy = 764.3 meV/atom

abc: 4.1911 4.1911 6.1948
angles: 109.77 109.77 90.00
With the nearest neighbours (Å) after each atom.
Fractional positions:
K1 0.2500 0.7500 0.5000  4 K 2.96
K2 0.7500 0.2500 0.5000  4 K 2.96
Al1 0.0000 0.0000 0.0000  4 Ni 2.96
Ni1 0.5000 0.5000 0.0000  4 Al 2.96


(4)
Material: BaLi2Ag
Method: DFT, GGA-PBEsol
State: relaxed

Computed properties:
E above lowest polymorph = 0.00 eV per formula unit
Symmetry = No. 160
Uncorrected energy = -2.45 eV per atom
Calculated formation energy = -102.7 meV/atom

abc: 4.7139 4.7139 6.3981
angles: 68.38 68.38 60.00
With the nearest neighbours (Å) after each atom.
Fractional positions:
Ag1 0.5556 0.5556 0.3331  6 Li 2.74-2.88
Li1 0.2412 0.2412 0.2764  3 Ag 2.74, 3 Li 2.79
Li2 0.9437 0.9437 0.1688  3 Li 2.79, 3 Ag 2.88
Ba1 0.7530 0.7530 0.7409  4 Li 3.31-3.68, 4 Ag 3.43-3.60


(5)
Material: NbBiH2Pd
Method: DFT, GGA-PBEsol
State: relaxed

Computed properties:
Symmetry = No. 123
Uncorrected energy = -4.64 eV per atom

abc: 3.8440 3.8440 5.7056
angles: 90.00 90.00 90.00
With the nearest neighbours (Å) after each atom.
Fractional positions:
Nb1 0.5000 0.5000 0.5000  4 Pd 2.72
H1 0.0000 0.5000 0.0000  2 Bi 1.92
H2 0.5000 0.0000 0.0000  2 Bi 1.92
Bi1 0.0000 0.0000 0.0000  4 H 1.92
Pd1 0.0000 0.0000 0.5000  4 Nb 2.72, 2 Bi 2.85


(6)
Material: Fe3Co5
Method: DFT, GGA-PBEsol
State: relaxed

Computed properties:
Symmetry = No. 2
Uncorrected energy = -8.14 eV per atom
Calculated formation energy = 52.3 meV/atom

abc: 2.4202 6.0711 5.9680
angles: 82.71 81.64 85.73
With the nearest neighbours (Å) after each atom.
Fractional positions:
Fe1 0.5000 0.0000 0.0000  4 Co 2.37-2.41, 4 Fe 2.39-2.42
Fe2 0.7391 0.8736 0.3721  4 Co 2.37-2.43, 4 Fe 2.39-2.42
Fe3 0.2609 0.1264 0.6279  4 Co 2.37-2.43, 4 Fe 2.39-2.42
Co1 0.7859 0.3744 0.8820  7 Co 2.38-2.57, 2 Fe 2.39-2.41
Co2 0.9533 0.7524 0.7445  3 Fe 2.37-2.43, 6 Co 2.38-2.64
Co3 0.2141 0.6256 0.1180  7 Co 2.38-2.57, 2 Fe 2.39-2.41
Co4 0.5000 0.5000 0.5000  2 Fe 2.39, 8 Co 2.42-2.64
Co5 0.0467 0.2476 0.2555  3 Fe 2.37-2.43, 6 Co 2.38-2.64